Computed, not measured: a relaxed structure of ErSnBr5 at the PBE-GGA level of DFT.

Formation energy without anion corrections   -1.3334 eV per atom
E_tot   -3.752 eV per atom

Lattice parameters (Å, degrees): 10.7709 10.5472 10.8707 90.00 116.48 90.00
Closest atoms and distances in Å follow each position.
Space group C2/c (No. 15)
One atom of each set of equivalent atoms:
Er 0.2500 0.2500 0.0000 (multiplicity 4)  6 Br 2.75-2.85
Sn 0.0000 0.0778 0.2500 (multiplicity 4)  4 Br 2.83-2.98
Br 0.0000 0.2383 0.7500 (multiplicity 4)  2 Er 2.85
Br 0.0976 0.2814 0.1475 (multiplicity 8)  1 Er 2.78, 1 Sn 2.83
Br 0.2369 0.0095 0.5185 (multiplicity 8)  1 Er 2.75, 1 Sn 2.98

---

Computed, not measured: a relaxed structure of SrMg3In3 at the PBE-GGA level of DFT.

Polymorph energy (0 for the lowest one)   354.1 meV/atom
Formation energy from the elements   4.88 kcal/mol of atoms
E_tot   -1.886 eV per atom

Lattice parameters (Å, degrees): 7.9376 7.9376 7.9376 90.00 90.00 90.00
Closest atoms and distances in Å follow each position.
Space group Pm-3n (No. 223)
One atom of each set of equivalent atoms:
Sr 0.0000 0.0000 0.0000 (multiplicity 2)  12 In 4.44, 12 Mg 4.44
Mg 0.0000 0.2500 0.5000 (multiplicity 6)  4 In 2.81
In 0.0000 0.5000 0.2500 (multiplicity 6)  4 Mg 2.81